Record 1
# GGA-PBEsol Ti6Al16Pt7, relaxed
data_Ti6Al16Pt7
_symmetry_space_group_name_H-M 'F m -3 m'
_symmetry_Int_Tables_number 225
_symmetry_space_group_name_Hall '-F 4 2 3'
_cell_length_a 12.245
_cell_length_b 12.245
_cell_length_c 12.245
_cell_angle_alpha 90.00
_cell_angle_beta 90.00
_cell_angle_gamma 90.00
loop_
_atom_site_label
_atom_site_type_symbol
_atom_site_fract_x
_atom_site_fract_y
_atom_site_fract_z
Ti1 Ti 0.000 0.000 0.173
Al1 Al 0.120 0.120 0.380
Al2 Al 0.160 0.160 0.160
Pt1 Pt 0.000 0.000 0.500
Pt2 Pt 0.000 0.250 0.250
# Calculated formation energy (eV per formula unit): -23.50

***

Record 2
# GGA-PBEsol BeCuReAs2, relaxed
data_BeCuReAs2
_symmetry_space_group_name_H-M 'P 4/m m m'
_symmetry_Int_Tables_number 123
_symmetry_space_group_name_Hall '-P 4 2'
_cell_length_a 4.270
_cell_length_b 4.270
_cell_length_c 4.172
_cell_angle_alpha 90.00
_cell_angle_beta 90.00
_cell_angle_gamma 90.00
loop_
_atom_site_label
_atom_site_type_symbol
_atom_site_fract_x
_atom_site_fract_y
_atom_site_fract_z
Be1 Be 0.000 0.000 0.000
Cu1 Cu 0.500 0.500 0.500
Re1 Re 0.000 0.000 0.500
As1 As 0.000 0.500 0.000
# Calculated formation energy (eV per formula unit): 5.24

***

Record 3
# GGA-PBEsol B2Sb2Ir, relaxed
data_B2Sb2Ir
_symmetry_space_group_name_H-M 'I 4/m m m'
_symmetry_Int_Tables_number 139
_symmetry_space_group_name_Hall '-I 4 2'
_cell_length_a 3.042
_cell_length_b 3.042
_cell_length_c 15.940
_cell_angle_alpha 90.00
_cell_angle_beta 90.00
_cell_angle_gamma 90.00
loop_
_atom_site_label
_atom_site_type_symbol
_atom_site_fract_x
_atom_site_fract_y
_atom_site_fract_z
B1 B 0.000 0.500 0.250
Sb1 Sb 0.000 0.000 0.115
Ir1 Ir 0.000 0.000 0.500
# Energy relative to the lowest polymorph listed for this composition (meV/atom): 0
# Formation energy from raw total energies (eV/atom): 0.869